No. 1
{"formula": "Na8Tl5Ga", "functional": "PBE", "state": "relaxed", "space_group": "I-4 (82)", "volume_a3_per_cell": 422.3, "delta_e_f_ev_per_atom": -0.02, "dos_ef_per_ev_cell": 7.823, "total_energy_ev_per_cell": -25.691, "lattice": [[-4.594, 4.594, 5.003], [4.594, -4.594, 5.003], [4.594, 4.594, -5.003]], "species": ["Na", "Na", "Na", "Na", "Na", "Na", "Na", "Na", "Tl", "Tl", "Tl", "Tl", "Tl", "Ga"], "frac_coords": [[0.096, 0.347, 0.611], [0.159, 0.429, 0.078], [0.351, 0.081, 0.922], [0.515, 0.904, 0.251], [0.571, 0.649, 0.730], [0.653, 0.265, 0.749], [0.735, 0.485, 0.389], [0.919, 0.841, 0.270], [0.034, 0.725, 0.916], [0.250, 0.750, 0.500], [0.275, 0.191, 0.309], [0.809, 0.118, 0.084], [0.882, 0.966, 0.691], [0.500, 0.500, 0.000]]}


No. 2
{"formula": "CrRuCl", "functional": "PBE", "state": "relaxed", "space_group": "I4mm (107)", "volume_a3_per_cell": 42.5, "dos_ef_per_ev_cell": 1.937, "formation_energy_uncorrected_ev_per_atom": 0.296, "relative_energy_mev_per_atom": 75, "total_energy_ev_per_cell": -19.858, "lattice": [[-1.415, 1.415, 5.298], [1.415, -1.415, 5.298], [1.415, 1.415, -5.298]], "species": ["Cr", "Ru", "Cl"], "frac_coords": [[0.000, 0.000, 0.000], [0.358, 0.358, 0.000], [0.655, 0.655, 0.000]]}